(1)
AlZn2Cd: optimized geometry, PBE.

```
data_AlZn2Cd
_chemical_formula_sum 'Al1 Zn2 Cd1'
_cell_length_a 4.690
_cell_length_b 4.690
_cell_length_c 4.690
_cell_angle_alpha 60.00
_cell_angle_beta 60.00
_cell_angle_gamma 60.00
_symmetry_space_group_name_H-M 'P 1'
_symmetry_Int_Tables_number 1
loop_
_symmetry_equiv_pos_as_xyz
'x,y,z'
loop_
_atom_site_label
_atom_site_type_symbol
_atom_site_fract_x
_atom_site_fract_y
_atom_site_fract_z
Zn1 Zn 0.250 0.250 0.250
Zn2 Zn 0.750 0.750 0.750
Al1 Al 0.000 0.000 0.000
Cd1 Cd 0.500 0.500 0.500
```

Computed properties:
Its volume is 18.24 A^3/atom. The value obtained for the energy above the most stable polymorph in this dataset is 0.113 eV per atom. The calculation puts the density at 6.15 Mg/m³. The value obtained for the electronic total energy is -1.63 eV per atom. The value obtained for the density of states at the Fermi level is 2.0 states/eV/f.u. For the energy relative to the elements, the calculation gives 0.173 eV per atom.

---

(2)
ZnPCl2F6: optimized geometry, PBE.

```
data_ZnPCl2F6
_chemical_formula_sum 'Zn1 P1 Cl2 F6'
_cell_length_a 5.595
_cell_length_b 8.109
_cell_length_c 8.131
_cell_angle_alpha 38.09
_cell_angle_beta 46.41
_cell_angle_gamma 67.60
_symmetry_space_group_name_H-M 'P 1'
_symmetry_Int_Tables_number 1
loop_
_symmetry_equiv_pos_as_xyz
'x,y,z'
loop_
_atom_site_label
_atom_site_type_symbol
_atom_site_fract_x
_atom_site_fract_y
_atom_site_fract_z
Zn1 Zn 0.000 0.000 0.000
P1 P 0.500 0.500 0.000
Cl1 Cl 0.456 0.228 0.772
Cl2 Cl 0.544 0.772 0.228
F1 F 0.271 0.317 0.413
F2 F 0.823 0.664 0.837
F3 F 0.331 0.753 0.914
F4 F 0.669 0.247 0.086
F5 F 0.177 0.336 0.163
F6 F 0.729 0.683 0.587
```

Computed properties:
Its volume is 15.37 A^3/atom. As for the uncorrected formation energy: -1.9564 eV/atom. The calculation puts the density at 3.04 Mg/m³. The value obtained for the electronic total energy is -4.12 eV per atom. The value obtained for the density of states at the Fermi level is 0.6 states/eV/f.u.

---

(3)
KBaSi: optimized geometry, PBE.

```
data_KBaSi
_chemical_formula_sum 'K2 Ba2 Si2'
_cell_length_a 4.659
_cell_length_b 4.123
_cell_length_c 14.871
_cell_angle_alpha 90.00
_cell_angle_beta 99.01
_cell_angle_gamma 90.00
_symmetry_space_group_name_H-M 'P 1'
_symmetry_Int_Tables_number 1
loop_
_symmetry_equiv_pos_as_xyz
'x,y,z'
loop_
_atom_site_label
_atom_site_type_symbol
_atom_site_fract_x
_atom_site_fract_y
_atom_site_fract_z
K1 K 0.811 0.750 0.621
K2 K 0.189 0.250 0.379
Ba1 Ba 0.565 0.750 0.130
Ba2 Ba 0.435 0.250 0.870
Si1 Si 0.977 0.750 0.954
Si2 Si 0.023 0.250 0.046
```

Computed properties:
Its volume is 47.02 A^3/atom. The value obtained for the energy above the most stable polymorph in this dataset is 0.000 eV per atom. As for the uncorrected formation energy: -0.2409 eV/atom. The calculation puts the density at 2.41 Mg/m³. The value obtained for the electronic total energy is -3.06 eV per atom. The value obtained for the density of states at the Fermi level is 1.7 states/eV/f.u.

---

(4)
PmNi4Ge2: optimized geometry, PBE.

```
data_PmNi4Ge2
_chemical_formula_sum 'Pm1 Ni4 Ge2'
_cell_length_a 4.044
_cell_length_b 4.044
_cell_length_c 7.853
_cell_angle_alpha 75.08
_cell_angle_beta 75.08
_cell_angle_gamma 60.00
_symmetry_space_group_name_H-M 'P 1'
_symmetry_Int_Tables_number 1
loop_
_symmetry_equiv_pos_as_xyz
'x,y,z'
loop_
_atom_site_label
_atom_site_type_symbol
_atom_site_fract_x
_atom_site_fract_y
_atom_site_fract_z
Pm1 Pm 0.000 0.000 0.000
Ni1 Ni 0.442 0.442 0.675
Ni2 Ni 0.142 0.142 0.573
Ni3 Ni 0.558 0.558 0.325
Ni4 Ni 0.858 0.858 0.427
Ge1 Ge 0.247 0.247 0.259
Ge2 Ge 0.753 0.753 0.741
```

Computed properties:
Its volume is 15.17 A^3/atom. The value obtained for the energy above the most stable polymorph in this dataset is 0.030 eV per atom. The calculation puts the density at 8.21 Mg/m³. The value obtained for the electronic total energy is -5.78 eV per atom. The value obtained for the density of states at the Fermi level is 4.4 states/eV/f.u. For the energy relative to the elements, the calculation gives -0.478 eV per atom.

---

(5)
In2ReCl: optimized geometry, PBE.

```
data_In2ReCl
_chemical_formula_sum 'In2 Re1 Cl1'
_cell_length_a 6.325
_cell_length_b 6.182
_cell_length_c 6.835
_cell_angle_alpha 154.65
_cell_angle_beta 130.01
_cell_angle_gamma 52.90
_symmetry_space_group_name_H-M 'P 1'
_symmetry_Int_Tables_number 1
loop_
_symmetry_equiv_pos_as_xyz
'x,y,z'
loop_
_atom_site_label
_atom_site_type_symbol
_atom_site_fract_x
_atom_site_fract_y
_atom_site_fract_z
Re1 Re 0.535 0.564 0.080
Cl1 Cl 0.666 0.342 0.644
In1 In 0.013 0.835 0.818
In2 In 0.287 0.760 0.458
```

Computed properties:
Its volume is 21.86 A^3/atom. The value obtained for the energy above the most stable polymorph in this dataset is 0.000 eV per atom. As for the uncorrected formation energy: 0.2716 eV/atom. The calculation puts the density at 8.57 Mg/m³. The value obtained for the electronic total energy is -4.67 eV per atom. The value obtained for the density of states at the Fermi level is 1.2 states/eV/f.u.

---

(6)
CaNd3Mg: optimized geometry, PBE.

```
data_CaNd3Mg
_chemical_formula_sum 'Ca2 Nd6 Mg2'
_cell_length_a 3.796
_cell_length_b 6.993
_cell_length_c 13.313
_cell_angle_alpha 86.22
_cell_angle_beta 89.99
_cell_angle_gamma 74.24
_symmetry_space_group_name_H-M 'P 1'
_symmetry_Int_Tables_number 1
loop_
_symmetry_equiv_pos_as_xyz
'x,y,z'
loop_
_atom_site_label
_atom_site_type_symbol
_atom_site_fract_x
_atom_site_fract_y
_atom_site_fract_z
Ca1 Ca 0.230 0.539 0.753
Ca2 Ca 0.770 0.461 0.247
Nd1 Nd 0.142 0.716 0.453
Nd2 Nd 0.366 0.268 0.022
Nd3 Nd 0.034 0.933 0.185
Nd4 Nd 0.858 0.284 0.547
Nd5 Nd 0.966 0.067 0.815
Nd6 Nd 0.634 0.732 0.978
Mg1 Mg 0.555 0.890 0.631
Mg2 Mg 0.445 0.110 0.369
```

Computed properties:
Its volume is 33.93 A^3/atom. The calculation puts the density at 4.87 Mg/m³. The value obtained for the electronic total energy is -3.58 eV per atom. The value obtained for the density of states at the Fermi level is 5.6 states/eV/f.u. For the energy relative to the elements, the calculation gives 0.002 eV per atom.

---

(7)
Tl5Ga2: optimized geometry, PBE.

```
data_Tl5Ga2
_chemical_formula_sum 'Tl5 Ga2'
_cell_length_a 3.556
_cell_length_b 3.556
_cell_length_c 15.467
_cell_angle_alpha 96.60
_cell_angle_beta 96.60
_cell_angle_gamma 90.00
_symmetry_space_group_name_H-M 'P 1'
_symmetry_Int_Tables_number 1
loop_
_symmetry_equiv_pos_as_xyz
'x,y,z'
loop_
_atom_site_label
_atom_site_type_symbol
_atom_site_fract_x
_atom_site_fract_y
_atom_site_fract_z
Tl1 Tl 0.161 0.161 0.323
Tl2 Tl 0.580 0.580 0.159
Tl3 Tl 0.000 0.000 0.000
Tl4 Tl 0.420 0.420 0.841
Tl5 Tl 0.839 0.839 0.677
Ga1 Ga 0.271 0.271 0.543
Ga2 Ga 0.729 0.729 0.457
```

Computed properties:
Its volume is 27.57 A^3/atom. The calculation puts the density at 9.99 Mg/m³. The value obtained for the electronic total energy is -2.52 eV per atom. The value obtained for the density of states at the Fermi level is 3.0 states/eV/f.u. For the energy relative to the elements, the calculation gives 0.033 eV per atom.

---

(8)
ZrInPb: optimized geometry, PBE.

```
data_ZrInPb
_chemical_formula_sum 'Zr2 In2 Pb2'
_cell_length_a 5.719
_cell_length_b 5.718
_cell_length_c 5.885
_cell_angle_alpha 105.08
_cell_angle_beta 104.34
_cell_angle_gamma 118.37
_symmetry_space_group_name_H-M 'P 1'
_symmetry_Int_Tables_number 1
loop_
_symmetry_equiv_pos_as_xyz
'x,y,z'
loop_
_atom_site_label
_atom_site_type_symbol
_atom_site_fract_x
_atom_site_fract_y
_atom_site_fract_z
Zr1 Zr 0.148 0.128 0.485
Zr2 Zr 0.394 0.877 0.985
In1 In 0.069 0.201 0.984
In2 In 0.822 0.453 0.484
Pb1 Pb 0.476 0.800 0.485
Pb2 Pb 0.724 0.548 0.985
```

Computed properties:
Its volume is 24.51 A^3/atom. The value obtained for the energy above the most stable polymorph in this dataset is 0.000 eV per atom. The calculation puts the density at 9.33 Mg/m³. The value obtained for the electronic total energy is -5.09 eV per atom. The value obtained for the density of states at the Fermi level is 2.9 states/eV/f.u. For the energy relative to the elements, the calculation gives -0.089 eV per atom.

---

(9)
Tb4TmCd5: optimized geometry, PBE.

```
data_Tb4TmCd5
_chemical_formula_sum 'Tb4 Tm1 Cd5'
_cell_length_a 3.742
_cell_length_b 3.742
_cell_length_c 18.798
_cell_angle_alpha 90.00
_cell_angle_beta 90.00
_cell_angle_gamma 90.00
_symmetry_space_group_name_H-M 'P 1'
_symmetry_Int_Tables_number 1
loop_
_symmetry_equiv_pos_as_xyz
'x,y,z'
loop_
_atom_site_label
_atom_site_type_symbol
_atom_site_fract_x
_atom_site_fract_y
_atom_site_fract_z
Tb1 Tb 0.000 0.000 0.198
Tb2 Tb 0.000 0.000 0.399
Tb3 Tb 0.000 0.000 0.601
Tb4 Tb 0.000 0.000 0.802
Tm1 Tm 0.000 0.000 0.000
Cd1 Cd 0.500 0.500 0.096
Cd2 Cd 0.500 0.500 0.299
Cd3 Cd 0.500 0.500 0.500
Cd4 Cd 0.500 0.500 0.701
Cd5 Cd 0.500 0.500 0.904
```

Computed properties:
Its volume is 26.31 A^3/atom. The calculation puts the density at 8.62 Mg/m³. The value obtained for the electronic total energy is -3.07 eV per atom. The value obtained for the density of states at the Fermi level is 12.1 states/eV/f.u. For the energy relative to the elements, the calculation gives -0.317 eV per atom.

---

(10)
LaBe3Pt: optimized geometry, PBE.

```
data_LaBe3Pt
_chemical_formula_sum 'La4 Be12 Pt4'
_cell_length_a 5.697
_cell_length_b 9.749
_cell_length_c 5.632
_cell_angle_alpha 90.00
_cell_angle_beta 90.00
_cell_angle_gamma 90.00
_symmetry_space_group_name_H-M 'P 1'
_symmetry_Int_Tables_number 1
loop_
_symmetry_equiv_pos_as_xyz
'x,y,z'
loop_
_atom_site_label
_atom_site_type_symbol
_atom_site_fract_x
_atom_site_fract_y
_atom_site_fract_z
Be1 Be 0.000 0.865 0.021
Be2 Be 0.500 0.365 0.521
Be3 Be 0.500 0.135 0.521
Be4 Be 0.000 0.365 0.979
Be5 Be 0.000 0.135 0.979
Be6 Be 0.500 0.635 0.479
Be7 Be 0.500 0.865 0.479
Be8 Be 0.000 0.635 0.021
Be9 Be 0.250 0.250 0.750
Be10 Be 0.250 0.750 0.250
Be11 Be 0.750 0.750 0.250
Be12 Be 0.750 0.250 0.750
Pt1 Pt 0.750 0.250 0.250
Pt2 Pt 0.750 0.750 0.750
Pt3 Pt 0.250 0.750 0.750
Pt4 Pt 0.250 0.250 0.250
La1 La 0.000 0.000 0.500
La2 La 0.500 0.500 0.000
La3 La 0.500 0.000 0.000
La4 La 0.000 0.500 0.500
```

Computed properties:
Its volume is 15.64 A^3/atom. The value obtained for the energy above the most stable polymorph in this dataset is 0.138 eV per atom. The calculation puts the density at 7.67 Mg/m³. The value obtained for the electronic total energy is -4.78 eV per atom. The value obtained for the density of states at the Fermi level is 3.0 states/eV/f.u. For the energy relative to the elements, the calculation gives -0.352 eV per atom.

---

(11)
AcLaSm6Er2: optimized geometry, PBE.

```
data_AcLaSm6Er2
_chemical_formula_sum 'Ac2 La2 Sm12 Er4'
_cell_length_a 9.810
_cell_length_b 9.016
_cell_length_c 9.016
_cell_angle_alpha 117.44
_cell_angle_beta 93.15
_cell_angle_gamma 93.15
_symmetry_space_group_name_H-M 'P 1'
_symmetry_Int_Tables_number 1
loop_
_symmetry_equiv_pos_as_xyz
'x,y,z'
loop_
_atom_site_label
_atom_site_type_symbol
_atom_site_fract_x
_atom_site_fract_y
_atom_site_fract_z
Ac1 Ac 0.250 0.967 0.033
Ac2 Ac 0.750 0.033 0.967
La1 La 0.250 0.408 0.592
La2 La 0.750 0.592 0.408
Sm1 Sm 0.056 0.115 0.751
Sm2 Sm 0.444 0.249 0.885
Sm3 Sm 0.944 0.885 0.249
Sm4 Sm 0.556 0.751 0.115
Sm5 Sm 0.324 0.981 0.445
Sm6 Sm 0.176 0.555 0.019
Sm7 Sm 0.676 0.019 0.555
Sm8 Sm 0.824 0.445 0.981
Sm9 Sm 0.120 0.707 0.488
Sm10 Sm 0.380 0.512 0.293
Sm11 Sm 0.880 0.293 0.512
Sm12 Sm 0.620 0.488 0.707
Er1 Er 0.452 0.802 0.693
Er2 Er 0.048 0.307 0.198
Er3 Er 0.548 0.198 0.307
Er4 Er 0.952 0.693 0.802
```

Computed properties:
Its volume is 35.19 A^3/atom. The calculation puts the density at 7.56 Mg/m³. The value obtained for the electronic total energy is -4.52 eV per atom. The value obtained for the density of states at the Fermi level is 14.4 states/eV/f.u. For the energy relative to the elements, the calculation gives 0.123 eV per atom.

---

(12)
LiPtI: optimized geometry, PBE.

```
data_LiPtI
_chemical_formula_sum 'Li2 Pt2 I2'
_cell_length_a 4.420
_cell_length_b 4.420
_cell_length_c 7.851
_cell_angle_alpha 90.00
_cell_angle_beta 90.00
_cell_angle_gamma 120.00
_symmetry_space_group_name_H-M 'P 1'
_symmetry_Int_Tables_number 1
loop_
_symmetry_equiv_pos_as_xyz
'x,y,z'
loop_
_atom_site_label
_atom_site_type_symbol
_atom_site_fract_x
_atom_site_fract_y
_atom_site_fract_z
I1 I 0.333 0.667 0.057
I2 I 0.667 0.333 0.557
Pt1 Pt 0.333 0.667 0.387
Pt2 Pt 0.667 0.333 0.887
Li1 Li 0.000 0.000 0.806
Li2 Li 0.000 0.000 0.306
```

Computed properties:
Its volume is 22.14 A^3/atom. The value obtained for the energy above the most stable polymorph in this dataset is 0.356 eV per atom. As for the uncorrected formation energy: -0.2252 eV/atom. The calculation puts the density at 8.22 Mg/m³. The value obtained for the electronic total energy is -3.39 eV per atom. The value obtained for the density of states at the Fermi level is 0.0 states/eV/f.u.